(1)
ZrMnIr | meta-GGA SCAN | PBEsol geometry

abc: 4.340 4.340 4.340
angles: 60.00 60.00 60.00
Fractional positions:
Zr (0.000, 0.000, 0.000)
Mn (0.500, 0.500, 0.500)
Ir (0.250, 0.250, 0.250)

Calculated values
The energy of formation comes out at -51.6 kJ/mol of atoms. Its space-group type is No. 216.

(2)
LiReP2 | meta-GGA SCAN | PBEsol geometry

abc: 3.130 3.680 4.428
angles: 90.00 90.00 90.00
Fractional positions:
Li (0.000, 0.000, 0.000)
Re (0.500, 0.000, 0.500)
P (0.000, 0.500, 0.500)
P (0.500, 0.500, 0.000)

Calculated values
The energy of formation comes out at 20.9 kJ/mol of atoms. Its space-group type is No. 47. As for the energy above the most stable polymorph in this dataset: 8.8 meV/atom.

(3)
AcGe3 | meta-GGA SCAN | PBEsol geometry

abc: 6.511 6.511 4.940
angles: 90.00 90.00 120.00
Fractional positions:
Ac (0.333, 0.667, 0.250)
Ac (0.667, 0.333, 0.750)
Ge (0.137, 0.274, 0.750)
Ge (0.137, 0.863, 0.750)
Ge (0.274, 0.137, 0.250)
Ge (0.726, 0.863, 0.750)
Ge (0.863, 0.137, 0.250)
Ge (0.863, 0.726, 0.250)

Calculated values
The energy of formation comes out at -46.1 kJ/mol of atoms. Its space-group type is No. 194.

(4)
SmSn3Ru | meta-GGA SCAN | PBEsol geometry

abc: 9.619 9.619 9.619
angles: 90.00 90.00 90.00
Fractional positions:
Sm (0.000, 0.000, 0.000)
Sm (0.000, 0.250, 0.500)
Sm (0.000, 0.750, 0.500)
Sm (0.250, 0.500, 0.000)
Sm (0.500, 0.000, 0.250)
Sm (0.500, 0.000, 0.750)
Sm (0.500, 0.500, 0.500)
Sm (0.750, 0.500, 0.000)
Sn (0.000, 0.314, 0.155)
Sn (0.000, 0.314, 0.845)
Sn (0.000, 0.686, 0.155)
Sn (0.000, 0.686, 0.845)
Sn (0.155, 0.000, 0.314)
Sn (0.155, 0.000, 0.686)
Sn (0.186, 0.500, 0.345)
Sn (0.186, 0.500, 0.655)
Sn (0.314, 0.155, 0.000)
Sn (0.314, 0.845, 0.000)
Sn (0.345, 0.186, 0.500)
Sn (0.345, 0.814, 0.500)
Sn (0.500, 0.345, 0.186)
Sn (0.500, 0.345, 0.814)
Sn (0.500, 0.655, 0.186)
Sn (0.500, 0.655, 0.814)
Sn (0.655, 0.186, 0.500)
Sn (0.655, 0.814, 0.500)
Sn (0.686, 0.155, 0.000)
Sn (0.686, 0.845, 0.000)
Sn (0.814, 0.500, 0.345)
Sn (0.814, 0.500, 0.655)
Sn (0.845, 0.000, 0.314)
Sn (0.845, 0.000, 0.686)
Ru (0.250, 0.250, 0.250)
Ru (0.250, 0.250, 0.750)
Ru (0.250, 0.750, 0.250)
Ru (0.250, 0.750, 0.750)
Ru (0.750, 0.250, 0.250)
Ru (0.750, 0.250, 0.750)
Ru (0.750, 0.750, 0.250)
Ru (0.750, 0.750, 0.750)

Calculated values
The energy of formation comes out at -53.0 kJ/mol of atoms. Its space-group type is No. 223.

(5)
K5Ag | meta-GGA SCAN | PBEsol geometry

abc: 9.333 9.333 6.139
angles: 90.00 90.00 144.70
Fractional positions:
K (0.000, 0.000, 0.000)
K (0.139, 0.861, 0.500)
K (0.346, 0.654, 0.000)
K (0.654, 0.346, 0.000)
K (0.861, 0.139, 0.500)
Ag (0.500, 0.500, 0.500)

Calculated values
The energy of formation comes out at 11.3 kJ/mol of atoms. Its space-group type is No. 65. As for the energy above the most stable polymorph in this dataset: 68.2 meV/atom.

(6)
GdGa2 | meta-GGA SCAN | PBEsol geometry

abc: 4.179 4.179 4.072
angles: 90.00 90.00 120.00
Fractional positions:
Gd (0.000, 0.000, 0.000)
Ga (0.333, 0.667, 0.500)
Ga (0.667, 0.333, 0.500)

Calculated values
The energy of formation comes out at -72.8 kJ/mol of atoms. Its space-group type is No. 191.

(7)
Mg2ZnPd2 | meta-GGA SCAN | PBEsol geometry

abc: 6.537 6.537 3.928
angles: 90.00 90.00 90.00
Fractional positions:
Mg (0.161, 0.339, 0.000)
Mg (0.339, 0.839, 0.000)
Mg (0.661, 0.161, 0.000)
Mg (0.839, 0.661, 0.000)
Zn (0.000, 0.000, 0.500)
Zn (0.500, 0.500, 0.500)
Pd (0.145, 0.645, 0.500)
Pd (0.355, 0.145, 0.500)
Pd (0.645, 0.855, 0.500)
Pd (0.855, 0.355, 0.500)

Calculated values
The energy of formation comes out at -56.7 kJ/mol of atoms. Its space-group type is No. 127.

(8)
Hg3NO | meta-GGA SCAN | PBEsol geometry

abc: 4.591 4.591 4.591
angles: 90.00 90.00 90.00
Fractional positions:
Hg (0.000, 0.000, 0.500)
Hg (0.000, 0.500, 0.000)
Hg (0.500, 0.000, 0.000)
N (0.500, 0.500, 0.500)
O (0.000, 0.000, 0.000)

Calculated values
Its space-group type is No. 221. The formation energy without anion corrections is 5.98 eV/f.u.

| no. | uncorrected energy (eV/atom) |
| --- | --- |
| 1 | -40.55 |
| 2 | -23.35 |
| 3 | -37.41 |
| 4 | -37.96 |
| 5 | -12.05 |
| 6 | -31.26 |
| 7 | -18.39 |
| 8 | -42.81 |